Computed, not measured: BaMgPb2Au4 after structural relaxation at the PBE level of DFT.

- Electronic total energy: -3.413 eV per atom
- ΔH_f (0 K): -9.4 kcal/mol of atoms
- Space group: R-3m

abc: 10.384 10.384 10.384
angles: 27.08 27.08 27.08
Fractional coordinates of all 8 atoms:
Ba  0.000  0.000  0.000
Mg  0.500  0.500  0.500
Pb  0.241  0.241  0.241
Pb  0.759  0.759  0.759
Au  0.143  0.143  0.143
Au  0.400  0.400  0.400
Au  0.600  0.600  0.600
Au  0.857  0.857  0.857

Computed, not measured: BaNiSn2Te after structural relaxation at the PBE level of DFT.

- Electronic total energy: -4.233 eV per atom
- Formation energy from raw total energies: -463 meV per atom
- Space group: P4/mmm

abc: 4.915 4.915 6.349
angles: 90.00 90.00 90.00
Fractional coordinates of all 5 atoms:
Ba  0.000  0.000  0.000
Ni  0.000  0.000  0.500
Sn  0.000  0.500  0.500
Sn  0.500  0.000  0.500
Te  0.500  0.500  0.000

Computed, not measured: ThCdSnGe after structural relaxation at the PBE level of DFT.

- Electronic total energy: -4.606 eV per atom
- ΔH_f (0 K): -8.5 kcal/mol of atoms
- Space group: P4/nmm

abc: 4.427 4.427 10.229
angles: 90.00 90.00 90.00
Fractional coordinates of all 8 atoms:
Th  0.250  0.250  0.216
Th  0.750  0.750  0.784
Cd  0.250  0.750  0.500
Cd  0.750  0.250  0.500
Sn  0.250  0.250  0.706
Sn  0.750  0.750  0.294
Ge  0.250  0.750  0.000
Ge  0.750  0.250  0.000